## TcHg2Ru (PBE)

Data for TcHg2Ru after structural relaxation.

Computed properties:
Spin magnetization ... 0.000 μB/atom
VASP energy ... -4.461 eV/atom
Crystal system ... orthorhombic
Energy of formation ... 0.60 eV/atom
Space group ... No. 44
Relative energy among the computed polymorphs ... 0.347 eV/atom
DOS at the Fermi energy ... 3.58 states/eV/f.u.

Lattice parameters (Å, degrees): 5.9298 5.9298 5.9298 152.03 131.28 57.12
Fractional coordinates of all 4 atoms:
1 Tc 0.0000 0.0000 0.0000
2 Hg 0.4532 0.4532 0.0000
3 Hg 0.7393 0.2393 0.5000
4 Ru 0.1949 0.6949 0.5000